The following is a DFT calculation (PBE) of crystalline TbTmTeO2 at its relaxed geometry. Values from VASP.

Quantum ESPRESSO input file:
```
&SYSTEM
  ibrav = 0, nat = 5, ntyp = 4
/
ATOMIC_SPECIES
Tb 158.93 Tb.upf
Tm 168.93 Tm.upf
Te 127.60 Te.upf
O 16.00 O.upf
CELL_PARAMETERS angstrom
-1.947 1.947 6.188
1.947 -1.947 6.188
1.947 1.947 -6.188
ATOMIC_POSITIONS crystal
Tb 0.000 0.000 0.000
Tm 0.675 0.675 0.000
Te 0.338 0.338 0.000
O 0.092 0.592 0.500
O 0.592 0.092 0.500
```

Output
The energy above the most stable polymorph in this dataset is 0.0 kJ per mole of atoms. The value obtained for the total energy is -7.40 eV/atom.

***

The following is a DFT calculation (PBE) of crystalline TbTl2O4 at its relaxed geometry. Values from VASP.

Quantum ESPRESSO input file:
```
&SYSTEM
  ibrav = 0, nat = 14, ntyp = 3
/
ATOMIC_SPECIES
Tb 158.93 Tb.upf
Tl 204.38 Tl.upf
O 16.00 O.upf
CELL_PARAMETERS angstrom
0.000 4.859 4.859
4.859 0.000 4.859
4.859 4.859 0.000
ATOMIC_POSITIONS crystal
Tb 0.125 0.125 0.125
Tb 0.875 0.875 0.875
Tl 0.000 0.500 0.500
Tl 0.500 0.000 0.500
Tl 0.500 0.500 0.000
Tl 0.500 0.500 0.500
O 0.255 0.255 0.255
O 0.255 0.255 0.736
O 0.255 0.736 0.255
O 0.264 0.745 0.745
O 0.736 0.255 0.255
O 0.745 0.264 0.745
O 0.745 0.745 0.264
O 0.745 0.745 0.745
```

Output
The value obtained for the total energy is -5.68 eV/atom.

***

The following is a DFT calculation (PBE) of crystalline TbTlZnO3 at its relaxed geometry. Values from VASP.

Quantum ESPRESSO input file:
```
&SYSTEM
  ibrav = 0, nat = 12, ntyp = 4
/
ATOMIC_SPECIES
Tb 158.93 Tb.upf
Tl 204.38 Tl.upf
Zn 65.41 Zn.upf
O 16.00 O.upf
CELL_PARAMETERS angstrom
1.771 -6.040 0.000
1.771 6.040 0.000
0.000 0.000 9.096
ATOMIC_POSITIONS crystal
Tb 0.000 0.000 0.000
Tb 0.000 0.000 0.500
Tl 0.296 0.704 0.750
Tl 0.704 0.296 0.250
Zn 0.417 0.583 0.250
Zn 0.583 0.417 0.750
O 0.029 0.971 0.250
O 0.384 0.616 0.047
O 0.384 0.616 0.453
O 0.616 0.384 0.547
O 0.616 0.384 0.953
O 0.971 0.029 0.750
```

Output
The value obtained for the total energy is -5.79 eV/atom.

***

The following is a DFT calculation (PBE) of crystalline Tb2YO3 at its relaxed geometry. Values from VASP.

Quantum ESPRESSO input file:
```
&SYSTEM
  ibrav = 0, nat = 6, ntyp = 3
/
ATOMIC_SPECIES
Tb 158.93 Tb.upf
Y 88.91 Y.upf
O 16.00 O.upf
CELL_PARAMETERS angstrom
3.405 0.000 0.000
-1.703 2.949 0.000
0.000 0.000 8.347
ATOMIC_POSITIONS crystal
Tb 0.333 0.667 0.166
Tb 0.667 0.333 0.834
Y 0.000 0.000 0.500
O 0.000 0.000 0.000
O 0.333 0.667 0.666
O 0.667 0.333 0.334
```

Output
The value obtained for the total energy is -7.88 eV/atom.

***

The following is a DFT calculation (PBE) of crystalline Tb2Y2O5 at its relaxed geometry. Values from VASP.

Quantum ESPRESSO input file:
```
&SYSTEM
  ibrav = 0, nat = 9, ntyp = 3
/
ATOMIC_SPECIES
Tb 158.93 Tb.upf
Y 88.91 Y.upf
O 16.00 O.upf
CELL_PARAMETERS angstrom
3.883 0.000 0.000
0.000 3.883 0.000
0.000 0.000 9.625
ATOMIC_POSITIONS crystal
Tb 0.000 0.000 0.242
Tb 0.000 0.000 0.758
Y 0.500 0.500 0.000
Y 0.500 0.500 0.500
O 0.000 0.000 0.500
O 0.000 0.500 0.143
O 0.000 0.500 0.857
O 0.500 0.000 0.143
O 0.500 0.000 0.857
```

Output
The value obtained for the total energy is -8.08 eV/atom.

***

The following is a DFT calculation (PBE) of crystalline Tb2Y2O5 at its relaxed geometry. Values from VASP.

Quantum ESPRESSO input file:
```
&SYSTEM
  ibrav = 0, nat = 9, ntyp = 3
/
ATOMIC_SPECIES
Tb 158.93 Tb.upf
Y 88.91 Y.upf
O 16.00 O.upf
CELL_PARAMETERS angstrom
3.892 0.000 0.000
0.000 3.892 0.000
0.000 0.000 9.545
ATOMIC_POSITIONS crystal
Tb 0.000 0.000 0.000
Tb 0.000 0.000 0.500
Y 0.500 0.500 0.242
Y 0.500 0.500 0.758
O 0.000 0.500 0.144
O 0.000 0.500 0.856
O 0.500 0.000 0.144
O 0.500 0.000 0.856
O 0.500 0.500 0.500
```

Output
The value obtained for the total energy is -8.08 eV/atom.

***

The following is a DFT calculation (PBE) of crystalline TbYO2 at its relaxed geometry. Values from VASP.

Quantum ESPRESSO input file:
```
&SYSTEM
  ibrav = 0, nat = 4, ntyp = 3
/
ATOMIC_SPECIES
Tb 158.93 Tb.upf
Y 88.91 Y.upf
O 16.00 O.upf
CELL_PARAMETERS angstrom
3.405 0.000 0.000
0.000 3.405 0.000
0.000 0.000 4.816
ATOMIC_POSITIONS crystal
Tb 0.000 0.000 0.000
Y 0.500 0.500 0.500
O 0.000 0.000 0.500
O 0.500 0.500 0.000
```

Output
The value obtained for the total energy is -8.03 eV/atom.

***

The following is a DFT calculation (PBE) of crystalline TbZn6O8 at its relaxed geometry. Values from VASP.

Quantum ESPRESSO input file:
```
&SYSTEM
  ibrav = 0, nat = 15, ntyp = 3
/
ATOMIC_SPECIES
Tb 158.93 Tb.upf
Zn 65.41 Zn.upf
O 16.00 O.upf
CELL_PARAMETERS angstrom
0.000 4.331 4.331
4.331 0.000 4.331
4.331 4.331 0.000
ATOMIC_POSITIONS crystal
Tb 0.000 0.000 0.000
Zn 0.000 0.000 0.500
Zn 0.000 0.500 0.000
Zn 0.000 0.500 0.500
Zn 0.500 0.000 0.000
Zn 0.500 0.000 0.500
Zn 0.500 0.500 0.000
O 0.250 0.250 0.250
O 0.255 0.255 0.745
O 0.255 0.745 0.255
O 0.255 0.745 0.745
O 0.745 0.255 0.255
O 0.745 0.255 0.745
O 0.745 0.745 0.255
O 0.750 0.750 0.750
```

Output
The value obtained for the total energy is -4.85 eV/atom.

***

The following is a DFT calculation (PBE) of crystalline Tb2Zn2O5 at its relaxed geometry. Values from VASP.

Quantum ESPRESSO input file:
```
&SYSTEM
  ibrav = 0, nat = 9, ntyp = 3
/
ATOMIC_SPECIES
Tb 158.93 Tb.upf
Zn 65.41 Zn.upf
O 16.00 O.upf
CELL_PARAMETERS angstrom
3.902 0.000 0.000
0.000 3.902 0.000
0.000 0.000 7.046
ATOMIC_POSITIONS crystal
Tb 0.000 0.000 0.000
Tb 0.000 0.000 0.500
Zn 0.500 0.500 0.226
Zn 0.500 0.500 0.774
O 0.000 0.500 0.204
O 0.000 0.500 0.796
O 0.500 0.000 0.204
O 0.500 0.000 0.796
O 0.500 0.500 0.500
```

Output
The energy above the most stable polymorph in this dataset is 0.0 kJ per mole of atoms. The value obtained for the total energy is -6.26 eV/atom.

***

The following is a DFT calculation (PBE) of crystalline Tb2Zn2O5 at its relaxed geometry. Values from VASP.

Quantum ESPRESSO input file:
```
&SYSTEM
  ibrav = 0, nat = 9, ntyp = 3
/
ATOMIC_SPECIES
Tb 158.93 Tb.upf
Zn 65.41 Zn.upf
O 16.00 O.upf
CELL_PARAMETERS angstrom
3.957 0.000 0.000
0.000 3.957 0.000
0.000 0.000 8.669
ATOMIC_POSITIONS crystal
Tb 0.000 0.000 0.243
Tb 0.000 0.000 0.757
Zn 0.500 0.500 0.000
Zn 0.500 0.500 0.500
O 0.000 0.000 0.500
O 0.000 0.500 0.143
O 0.000 0.500 0.857
O 0.500 0.000 0.143
O 0.500 0.000 0.857
```

Output
The energy above the most stable polymorph in this dataset is 37.2 kJ per mole of atoms. The value obtained for the total energy is -5.88 eV/atom.

***

The following is a DFT calculation (PBE) of crystalline TbZr2O4 at its relaxed geometry. Values from VASP.

Quantum ESPRESSO input file:
```
&SYSTEM
  ibrav = 0, nat = 14, ntyp = 3
/
ATOMIC_SPECIES
Tb 158.93 Tb.upf
Zr 91.22 Zr.upf
O 16.00 O.upf
CELL_PARAMETERS angstrom
0.000 4.640 4.640
4.640 0.000 4.640
4.640 4.640 0.000
ATOMIC_POSITIONS crystal
Tb 0.125 0.125 0.125
Tb 0.875 0.875 0.875
Zr 0.000 0.500 0.500
Zr 0.500 0.000 0.500
Zr 0.500 0.500 0.000
Zr 0.500 0.500 0.500
O 0.258 0.258 0.258
O 0.258 0.258 0.726
O 0.258 0.726 0.258
O 0.274 0.742 0.742
O 0.726 0.258 0.258
O 0.742 0.274 0.742
O 0.742 0.742 0.274
O 0.742 0.742 0.742
```

Output
The value obtained for the total energy is -8.74 eV/atom.

***

The following is a DFT calculation (PBE) of crystalline TcO4 at its relaxed geometry. Values from VASP.

Quantum ESPRESSO input file:
```
&SYSTEM
  ibrav = 0, nat = 10, ntyp = 2
/
ATOMIC_SPECIES
Tc 98.00 Tc.upf
O 16.00 O.upf
CELL_PARAMETERS angstrom
4.790 0.000 0.000
0.000 5.946 0.000
-1.766 0.000 4.689
ATOMIC_POSITIONS crystal
Tc 0.000 0.209 0.250
Tc 0.000 0.791 0.750
O 0.207 0.091 0.033
O 0.207 0.909 0.533
O 0.265 0.380 0.471
O 0.265 0.620 0.971
O 0.735 0.380 0.029
O 0.735 0.620 0.529
O 0.793 0.091 0.467
O 0.793 0.909 0.967
```

Output
The energy above the most stable polymorph in this dataset is 0.0 kJ per mole of atoms. The value obtained for the total energy is -6.85 eV/atom.